Record 1
DFT (PBE-GGA) results for GeSbIrF2 after structural relaxation.

Values from the calculation:
* density: 7.5 g cm⁻³
* formation energy (no corrections): -0.332 eV/atom
* total DFT energy (no corrections): -4.601 eV per atom
* Fermi-level density of states: 3.734 states/eV/cell
* total magnetization: 0.0 μB/cell
* crystal system: tetragonal

Cell: 4.1575 4.1575 5.4336 Å, 90.00 90.00 90.00°
Space group P4/mmm (No. 123)
One atom of each set of equivalent atoms:
Ge 0.0000 0.0000 0.0000 (multiplicity 1)
Sb 0.5000 0.5000 0.0000 (multiplicity 1)
Ir 0.5000 0.5000 0.5000 (multiplicity 1)
F 0.0000 0.5000 0.5000 (multiplicity 2)

Record 2
DFT (PBE-GGA) results for ZrCrBr2 after structural relaxation.

Values from the calculation:
* density: 4.9 g cm⁻³
* formation energy (no corrections): -0.191 eV/atom
* total DFT energy (no corrections): -5.571 eV per atom
* Fermi-level density of states: 3.626 states/eV/cell
* energy above the most stable polymorph in this dataset: 203 meV per atom
* total magnetization: 15.0 μB/cell
* crystal system: trigonal

Cell: 3.4053 3.4053 30.6184 Å, 90.00 90.00 120.00°
Space group R-3m (No. 166, hexagonal axes)
One atom of each set of equivalent atoms:
Zr 0.0000 0.0000 0.0000 (multiplicity 3)
Cr 0.0000 0.0000 0.5000 (multiplicity 3)
Br 0.0000 0.0000 0.2693 (multiplicity 6)

Record 3
DFT (PBE-GGA) results for ZrSiAg after structural relaxation.

Values from the calculation:
* density: 6.3 g cm⁻³
* formation energy (no corrections): -0.178 eV/atom
* total DFT energy (no corrections): -5.785 eV per atom
* Fermi-level density of states: 8.264 states/eV/cell
* total magnetization: 0.0 μB/cell
* crystal system: cubic

Cell: 6.2201 6.2201 6.2201 Å, 90.00 90.00 90.00°
Space group F-43m (No. 216)
One atom of each set of equivalent atoms:
Zr 0.0000 0.0000 0.0000 (multiplicity 4)
Si 0.2500 0.2500 0.2500 (multiplicity 4)
Ag 0.0000 0.0000 0.5000 (multiplicity 4)

Record 4
DFT (PBE-GGA) results for Si5As after structural relaxation.

Values from the calculation:
* density: 3.7 g cm⁻³
* formation energy (no corrections): 0.325 eV/atom
* total DFT energy (no corrections): -4.969 eV per atom
* Fermi-level density of states: 2.177 states/eV/cell
* energy above the most stable polymorph in this dataset: 0 meV per atom
* total magnetization: 0.0 μB/cell
* crystal system: orthorhombic

Cell: 4.3610 8.9308 4.9844 Å, 90.00 90.00 90.00°
Space group Cmmm (No. 65)
One atom of each set of equivalent atoms:
Si 0.0000 0.0000 0.0000 (multiplicity 2)
Si 0.0000 0.3255 0.5000 (multiplicity 4)
Si 0.0000 0.3382 0.0000 (multiplicity 4)
As 0.0000 0.0000 0.5000 (multiplicity 2)

Record 5
DFT (PBE-GGA) results for La7SiI12 after structural relaxation.

Values from the calculation:
* density: 4.9 g cm⁻³
* formation energy (no corrections): -1.395 eV/atom
* total DFT energy (no corrections): -4.321 eV per atom
* Fermi-level density of states: 38.856 states/eV/cell
* total magnetization: 0.0 μB/cell
* crystal system: trigonal

Cell: 16.3621 16.3621 11.0145 Å, 90.00 90.00 120.00°
Space group R-3 (No. 148, hexagonal axes)
One atom of each set of equivalent atoms:
La 0.0000 0.0000 0.0000 (multiplicity 3)
La 0.0459 0.1642 0.3494 (multiplicity 18)
Si 0.0000 0.0000 0.5000 (multiplicity 3)
I 0.0212 0.5874 0.1651 (multiplicity 18)
I 0.0512 0.1837 0.8382 (multiplicity 18)

Record 6
DFT (PBE-GGA) results for YZn3Pt after structural relaxation.

Values from the calculation:
* density: 9.0 g cm⁻³
* total DFT energy (no corrections): -3.857 eV per atom
* Fermi-level density of states: 3.255 states/eV/cell
* energy above the most stable polymorph in this dataset: 0 meV per atom
* total magnetization: 0.0 μB/cell
* formation enthalpy at 0 K: -285 kJ/mol of formula units
* crystal system: monoclinic

Cell: 5.6138 5.3815 5.9005 Å, 90.00 92.54 90.00°
Space group P2_1/m (No. 11)
One atom of each set of equivalent atoms:
Y 0.1549 0.2500 0.1691 (multiplicity 2)
Zn 0.3305 0.0024 0.6673 (multiplicity 4)
Zn 0.3754 0.7500 0.0496 (multiplicity 2)
Pt 0.0718 0.7500 0.3606 (multiplicity 2)

Record 7
DFT (PBE-GGA) results for TlIn3 after structural relaxation.

Values from the calculation:
* density: 8.1 g cm⁻³
* total DFT energy (no corrections): -2.621 eV per atom
* Fermi-level density of states: 9.573 states/eV/cell
* total magnetization: 0.0 μB/cell
* formation enthalpy at 0 K: 9 kJ/mol of formula units
* crystal system: hexagonal

Cell: 6.7992 6.7992 16.8015 Å, 90.00 90.00 120.00°
Space group P6_3/mmc (No. 194)
One atom of each set of equivalent atoms:
Tl 0.0000 0.0000 0.2500 (multiplicity 2)
Tl 0.3333 0.6667 0.0862 (multiplicity 4)
In 0.0070 0.5035 0.7500 (multiplicity 6)
In 0.1673 0.3347 0.5830 (multiplicity 12)

Record 8
DFT (PBE-GGA) results for TaGe2BSb after structural relaxation.

Values from the calculation:
* density: 8.4 g cm⁻³
* formation energy (no corrections): 0.961 eV/atom
* total DFT energy (no corrections): -5.416 eV per atom
* Fermi-level density of states: 4.524 states/eV/cell
* total magnetization: 0.4 μB/cell
* crystal system: tetragonal

Cell: 4.2310 4.2310 5.0825 Å, 90.00 90.00 90.00°
Space group P4/mmm (No. 123)
One atom of each set of equivalent atoms:
Ta 0.0000 0.0000 0.0000 (multiplicity 1)
Ge 0.0000 0.5000 0.5000 (multiplicity 2)
B 0.5000 0.5000 0.5000 (multiplicity 1)
Sb 0.5000 0.5000 0.0000 (multiplicity 1)